[1]
SrMn2Br: relaxed, PBE-GGA.

Cell: 5.6439 5.6439 5.6439 Å, 129.34 129.34 74.46°
With the nearest neighbours (Å) after each atom.
Positions (direct):
Mn: 0.2500 0.7500 0.5000  4 Mn 3.30, 4 Sr 3.30, 4 Br 3.41
Mn: 0.0000 0.0000 0.0000  4 Br 3.30, 4 Mn 3.30, 4 Sr 3.41
Br: 0.7500 0.2500 0.5000  4 Sr 3.30, 8 Mn 3.30-3.41
Sr: 0.5000 0.5000 0.0000  8 Mn 3.30-3.41, 4 Br 3.30

## Properties
As for the size of the total moment: 8.80 μB per formula unit. The crystal system is tetragonal. The distance to the lowest polymorph of the same formula is 39.9 kJ/mol of atoms. The energy relative to the elements, uncorrected is 418.1 meV/atom. The total energy is -20.021 eV for the cell shown. Its density is 4396 kg/m³.



[2]
Y3Er8Tm2: relaxed, PBE-GGA.

Cell: 6.0930 6.0961 11.6737 Å, 69.55 85.01 80.51°
With the nearest neighbours (Å) after each atom.
Positions (direct):
Tm: 0.2308 0.1537 0.4616  10 Er 3.49-3.52, 2 Tm 3.51-3.52
Er: 0.3859 0.9259 0.7665  2 Tm 3.49-3.50, 6 Er 3.51-3.52, 4 Y 3.52-3.56
Er: 0.6141 0.0741 0.2335  2 Tm 3.49-3.50, 6 Er 3.51-3.52, 4 Y 3.52-3.56
Er: 0.3076 0.5401 0.6140  7 Er 3.49-3.53, 4 Tm 3.51-3.52, 1 Y 3.52
Y: 0.5391 0.6897 0.0783  8 Er 3.52-3.56, 4 Y 3.52-3.55
Er: 0.8475 0.2326 0.6905  7 Er 3.49-3.53, 3 Tm 3.50-3.52, 2 Y 3.53-3.54
Y: 0.0000 0.0000 0.0000  8 Er 3.52-3.54, 4 Y 3.52-3.53
Y: 0.4609 0.3103 0.9217  8 Er 3.52-3.56, 4 Y 3.52-3.55
Er: 0.9239 0.6186 0.8440  1 Tm 3.50, 6 Er 3.51-3.56, 5 Y 3.52-3.54
Tm: 0.7692 0.8463 0.5384  10 Er 3.49-3.52, 2 Tm 3.51-3.52
Er: 0.6924 0.4599 0.3860  7 Er 3.49-3.53, 4 Tm 3.51-3.52, 1 Y 3.52
Er: 0.0761 0.3814 0.1560  1 Tm 3.50, 6 Er 3.51-3.56, 5 Y 3.52-3.54
Er: 0.1525 0.7674 0.3095  7 Er 3.49-3.53, 3 Tm 3.50-3.52, 2 Y 3.53-3.54

## Properties
As for the formation energy: 0.026 eV/atom. As for the size of the total moment: 0.00 μB per formula unit. The crystal system is triclinic. The distance to the lowest polymorph of the same formula is 0.0 kJ/mol of atoms. The total energy is -64.500 eV for the cell shown. Its density is 8054 kg/m³.



[3]
Ac5Ge5Os2: relaxed, PBE-GGA.

Cell: 4.5391 6.9720 10.9185 Å, 95.36 90.00 109.00°
With the nearest neighbours (Å) after each atom.
Positions (direct):
Ac: 0.3490 0.6980 0.8995  5 Ge 3.14-3.45, 1 Ac 3.48
Os: 0.9370 0.8741 0.1951  4 Ge 2.36-2.50
Ac: 0.7865 0.5731 0.3904  1 Os 3.05, 5 Ge 3.26-3.35
Ge: 0.8982 0.7964 0.6746  1 Os 2.48
Ac: 0.6510 0.3020 0.1005  5 Ge 3.14-3.45, 1 Ac 3.48
Os: 0.0630 0.1259 0.8049  4 Ge 2.36-2.50
Ac: 0.2135 0.4269 0.6096  1 Os 3.05, 5 Ge 3.26-3.35
Ac: 0.5000 0.0000 0.5000  6 Ge 3.33-3.57, 4 Ac 3.72
Ge: 0.0000 0.0000 0.0000  2 Os 2.36
Ge: 0.1018 0.2036 0.3254  1 Os 2.48
Ge: 0.3589 0.7177 0.2036  2 Os 2.50
Ge: 0.6411 0.2823 0.7964  2 Os 2.50

## Properties
As for the formation energy: -0.367 eV/atom. As for the size of the total moment: 0.00 μB per formula unit. The crystal system is monoclinic. The total energy is -70.487 eV for the cell shown. Its density is 9595 kg/m³.



[4]
Rb2Ge3Pt5: relaxed, PBE-GGA.

Cell: 6.2775 8.9118 8.9118 Å, 69.97 110.60 110.60°
With the nearest neighbours (Å) after each atom.
Positions (direct):
Pt: 0.6200 0.2331 0.0066  3 Ge 2.51-2.61
Pt: 0.3800 0.7669 0.9934  3 Ge 2.51-2.61
Ge: 0.2500 0.0002 0.9998  4 Pt 2.51
Ge: 0.6140 0.4829 0.7456  5 Pt 2.52-2.61
Ge: 0.1140 0.7456 0.4829  5 Pt 2.52-2.61
Ge: 0.7500 0.9998 0.0002  4 Pt 2.51
Ge: 0.3860 0.5171 0.2544  5 Pt 2.52-2.61
Rb: 0.8649 0.6253 0.1045  11 Pt 3.30-3.61, 6 Ge 3.41-3.54
Pt: 0.4731 0.7237 0.7234  2 Ge 2.52
Pt: 0.8800 0.9934 0.7669  3 Ge 2.51-2.61
Rb: 0.1351 0.3747 0.8955  11 Pt 3.30-3.61, 6 Ge 3.41-3.54
Pt: 0.9731 0.7234 0.7237  2 Ge 2.52
Pt: 0.7500 0.4999 0.5001  4 Ge 2.56
Pt: 0.5269 0.2763 0.2766  2 Ge 2.52
Pt: 0.0269 0.2766 0.2763  2 Ge 2.52
Pt: 0.2500 0.5001 0.4999  4 Ge 2.56
Rb: 0.6351 0.8955 0.3747  11 Pt 3.30-3.61, 6 Ge 3.41-3.54
Rb: 0.3649 0.1045 0.6253  11 Pt 3.30-3.61, 6 Ge 3.41-3.54
Pt: 0.1200 0.0066 0.2331  3 Ge 2.51-2.61
Ge: 0.8860 0.2544 0.5171  5 Pt 2.52-2.61

## Properties
As for the formation energy: -0.310 eV/atom. As for the size of the total moment: 0.00 μB per formula unit. The crystal system is orthorhombic. The total energy is -98.174 eV for the cell shown. Its density is 10711 kg/m³.